The following is a DFT calculation (GGA-PBE) of a relaxed structure of Na3Ni5I12. Values from VASP.

Structure (Quantum ESPRESSO input):
```
&SYSTEM
  ibrav = 0, nat = 80, ntyp = 3
/
ATOMIC_SPECIES
I 126.90 I.upf
Ni 58.69 Ni.upf
Na 22.99 Na.upf
CELL_PARAMETERS angstrom
14.970 0.000 0.000
-4.990 14.114 0.000
-4.990 -7.057 12.223
ATOMIC_POSITIONS angstrom
I 6.780 7.952 6.326
I 3.338 8.857 1.228
I -3.689 12.190 1.443
I -4.743 5.515 12.008
I 11.281 3.241 3.724
I 1.652 -1.800 10.995
I -4.285 6.162 6.326
I 7.733 12.572 0.215
I -1.194 5.133 10.780
I 8.190 -1.131 2.388
I 1.194 1.317 7.056
I 10.824 7.221 2.173
I -0.843 5.257 1.228
I -0.843 9.021 0.945
I 0.705 9.083 8.285
I -3.200 8.188 9.835
I 6.184 10.873 3.724
I 5.695 5.927 9.835
I 6.642 6.893 2.173
I 6.291 -1.317 7.056
I -2.742 2.943 7.555
I -1.652 0.164 10.050
I 3.200 2.026 3.939
I 10.228 -2.943 7.555
I 9.275 0.895 5.897
I 5.833 1.800 10.995
I 1.790 5.031 8.285
I 1.652 1.964 11.278
I 2.742 -2.571 7.340
I -0.705 1.131 2.388
I 0.247 4.486 4.883
I -6.291 3.816 8.500
I -5.237 10.001 4.668
I 7.733 4.114 4.668
I -1.790 -0.895 5.897
I 9.733 1.542 0.215
I 6.184 1.924 1.443
I -1.194 -3.816 8.500
I 3.338 5.093 0.945
I -1.301 8.374 5.167
I -5.833 -0.164 10.050
I -2.742 -5.515 12.008
I 5.833 -1.964 11.278
I 4.285 -2.026 3.939
I 2.248 9.628 4.883
I 4.743 2.571 7.340
I 3.796 5.740 5.167
I 8.679 -5.133 10.780
Ni -3.743 7.939 4.584
Ni 1.248 4.411 10.695
Ni 6.238 3.529 9.167
Ni 6.238 6.175 4.584
Ni 4.990 7.057 0.000
Ni 1.248 -3.529 9.167
Ni 3.743 10.586 3.056
Ni 6.238 -4.411 10.695
Ni 8.733 -0.882 7.640
Ni 3.743 2.646 1.528
Ni 7.485 0.000 0.000
Ni -2.495 -3.529 6.112
Ni 2.495 3.529 6.112
Ni -1.248 11.468 1.528
Ni 4.990 -3.529 6.112
Ni -4.990 3.529 6.112
Ni -1.248 3.529 3.056
Ni 0.000 0.000 0.000
Ni -1.248 0.882 7.640
Ni -2.495 7.057 0.000
Na -1.248 6.175 7.640
Na 11.228 0.000 3.056
Na -3.743 2.646 10.695
Na -3.743 -2.646 10.695
Na 8.733 4.411 1.528
Na 8.733 9.703 1.528
Na 3.743 7.939 7.640
Na 1.248 7.057 3.056
Na 3.743 0.000 9.167
Na -6.238 7.057 9.167
Na 1.248 -0.882 4.584
Na 6.238 0.882 4.584
```

Symmetry: Ia-3d
Fermi-level density of states, states/eV per cell: 53.6
E_form (uncorrected), eV per atom: -0.34
VASP energy, eV per formula unit: -58.4

=====

The following is a DFT calculation (GGA-PBE) of a relaxed structure of NaNiI. Values from VASP.

Structure (Quantum ESPRESSO input):
```
&SYSTEM
  ibrav = 0, nat = 6, ntyp = 3
/
ATOMIC_SPECIES
I 126.90 I.upf
Na 22.99 Na.upf
Ni 58.69 Ni.upf
CELL_PARAMETERS angstrom
-3.339 1.591 3.842
-1.931 -2.002 -4.550
0.172 -8.598 3.710
ATOMIC_POSITIONS angstrom
I 0.043 -2.150 0.927
I 0.129 -6.449 2.782
Na -2.741 -6.055 3.827
Na -2.357 -2.954 -0.825
Ni 0.000 0.000 0.000
Ni 0.086 -4.299 1.855
```

Symmetry: P6_3/mmc
Fermi-level density of states, states/eV per cell: 0.0
E_form (uncorrected), eV per atom: 0.13
VASP energy, eV per formula unit: -8.3
Polymorph energy (0 for the lowest one), meV/atom: 358

=====

The following is a DFT calculation (GGA-PBE) of a relaxed structure of NaNiI. Values from VASP.

Structure (Quantum ESPRESSO input):
```
&SYSTEM
  ibrav = 0, nat = 6, ntyp = 3
/
ATOMIC_SPECIES
Ni 58.69 Ni.upf
I 126.90 I.upf
Na 22.99 Na.upf
CELL_PARAMETERS angstrom
3.715 -2.145 0.000
0.000 4.290 0.000
0.000 0.000 8.978
ATOMIC_POSITIONS angstrom
Ni 2.477 0.000 6.733
Ni 1.238 2.145 2.244
I 1.238 2.145 6.733
I 2.477 0.000 2.244
Na 0.000 0.000 0.000
Na 0.000 0.000 4.489
```

Symmetry: P6_3/mmc
Fermi-level density of states, states/eV per cell: 0.1
E_form (uncorrected), eV per atom: -0.14
VASP energy, eV per formula unit: -9.1
Polymorph energy (0 for the lowest one), meV/atom: 93

=====

The following is a DFT calculation (GGA-PBE) of a relaxed structure of NaNiI. Values from VASP.

Structure (Quantum ESPRESSO input):
```
&SYSTEM
  ibrav = 0, nat = 6, ntyp = 3
/
ATOMIC_SPECIES
Ni 58.69 Ni.upf
I 126.90 I.upf
Na 22.99 Na.upf
CELL_PARAMETERS angstrom
-0.845 -4.493 -0.158
4.243 -0.812 0.388
3.063 -3.199 8.564
ATOMIC_POSITIONS angstrom
Ni 2.633 -6.121 8.141
Ni 4.876 -6.506 7.077
I 0.846 -5.654 4.281
I 1.583 -3.347 0.927
Na 4.040 -1.523 2.115
Na 3.240 -3.842 6.305
```

Symmetry: P1
Fermi-level density of states, states/eV per cell: 3.4
E_form (uncorrected), eV per atom: -0.19
VASP energy, eV per formula unit: -9.2
Polymorph energy (0 for the lowest one), meV/atom: 45

=====

The following is a DFT calculation (GGA-PBE) of a relaxed structure of NaNiI. Values from VASP.

Structure (Quantum ESPRESSO input):
```
&SYSTEM
  ibrav = 0, nat = 6, ntyp = 3
/
ATOMIC_SPECIES
Ni 58.69 Ni.upf
I 126.90 I.upf
Na 22.99 Na.upf
CELL_PARAMETERS angstrom
12.075 0.000 0.024
2.438 2.075 -3.014
-2.438 2.075 3.014
ATOMIC_POSITIONS angstrom
Ni 1.626 2.075 2.027
Ni 3.199 2.075 0.053
I 11.849 2.075 -2.684
I 5.546 2.075 -1.417
Na 8.839 2.075 -1.904
Na -1.864 2.075 2.699
```

Symmetry: Cm
Fermi-level density of states, states/eV per cell: 0.8
E_form (uncorrected), eV per atom: -0.22
VASP energy, eV per formula unit: -9.3
Polymorph energy (0 for the lowest one), meV/atom: 13

=====

The following is a DFT calculation (GGA-PBE) of a relaxed structure of NaNiI. Values from VASP.

Structure (Quantum ESPRESSO input):
```
&SYSTEM
  ibrav = 0, nat = 3, ntyp = 3
/
ATOMIC_SPECIES
Ni 58.69 Ni.upf
Na 22.99 Na.upf
I 126.90 I.upf
CELL_PARAMETERS angstrom
-2.759 2.570 -0.232
-1.662 -2.029 -2.717
-2.838 -2.708 3.758
ATOMIC_POSITIONS angstrom
Ni -3.629 -1.084 0.404
Na -2.210 0.270 -1.475
I -1.419 -1.354 1.879
```

Symmetry: P4/mmm
Fermi-level density of states, states/eV per cell: 1.2
E_form (uncorrected), eV per atom: 0.13
VASP energy, eV per formula unit: -8.3
Polymorph energy (0 for the lowest one), meV/atom: 361

=====

The following is a DFT calculation (GGA-PBE) of a relaxed structure of Na5Ni3I12. Values from VASP.

Structure (Quantum ESPRESSO input):
```
&SYSTEM
  ibrav = 0, nat = 80, ntyp = 3
/
ATOMIC_SPECIES
I 126.90 I.upf
Ni 58.69 Ni.upf
Na 22.99 Na.upf
CELL_PARAMETERS angstrom
-14.041 -1.366 7.232
1.325 -11.213 -11.128
11.618 -1.722 10.647
ATOMIC_POSITIONS angstrom
I -4.085 -9.606 -5.952
I -11.418 -2.990 6.362
I -7.874 -9.108 -2.107
I -4.309 -2.273 4.242
I 2.988 -4.696 12.704
I -8.334 -10.581 1.195
I -1.379 -2.643 -1.176
I -3.980 -8.225 -1.014
I -1.651 -7.174 9.497
I -2.403 -9.753 3.621
I 2.229 -8.290 -6.349
I -3.397 -5.736 3.767
I 6.013 -2.190 11.396
I -0.423 -12.788 4.008
I 0.554 -7.127 -2.745
I 5.388 -8.504 5.535
I 0.282 -11.658 7.928
I 3.212 -12.028 2.510
I 4.573 -4.128 0.852
I 0.443 -4.195 9.652
I 9.934 -8.883 3.551
I -1.163 -6.346 0.335
I 7.237 -3.721 5.556
I -4.746 -6.320 7.103
I 2.883 -6.077 7.766
I 6.777 -5.193 8.859
I -3.896 -2.882 7.812
I 1.306 -4.549 3.131
I 2.799 -11.419 -1.060
I 3.218 -2.727 5.596
I -4.315 -11.574 1.156
I 6.443 -11.574 -2.715
I 10.321 -11.312 0.390
I -1.540 -10.106 -2.900
I 3.649 -7.981 -0.351
I 2.300 -8.565 2.984
I 7.082 -6.711 2.896
I -0.673 -1.513 2.744
I -2.621 -2.321 11.711
I -11.031 -5.418 3.200
I 1.524 -11.980 -4.959
I -8.178 -7.590 3.855
I -7.110 -12.112 -4.644
I -7.540 -2.728 9.467
I -6.485 -5.797 1.216
I 0.066 -7.956 6.416
I -5.670 -10.173 5.900
I -3.325 -6.011 13.100
Ni 7.484 -8.856 4.170
Ni 8.118 -11.274 -0.847
Ni -4.087 -4.303 5.731
Ni -1.532 -7.951 -1.581
Ni 8.742 -4.481 7.438
Ni 1.012 -2.389 4.410
Ni 2.990 -9.998 1.021
Ni -2.109 -11.912 2.342
Ni -8.581 -5.445 2.582
Ni 0.435 -6.350 8.333
Ni -9.215 -3.028 7.599
Ni -9.839 -9.820 -0.687
Na -1.211 -1.544 8.940
Na 0.000 0.000 0.000
Na -6.358 -6.290 -1.948
Na -3.482 -3.531 1.261
Na 0.663 -5.606 -5.564
Na -0.199 -3.933 13.350
Na 4.248 -5.623 4.290
Na 2.385 -10.770 5.491
Na 3.614 -3.206 9.307
Na -5.345 -8.679 2.462
Na -4.711 -11.096 -2.555
Na 6.472 -6.468 -0.240
Na 1.647 -4.806 -0.607
Na -7.020 -0.683 3.616
Na -4.693 -5.075 10.201
Na -0.548 -7.151 3.376
Na 3.596 -9.226 -3.449
Na -0.898 -10.368 -6.598
Na -2.743 -9.495 7.359
Na 5.809 -0.861 5.324
```

Symmetry: Ia-3d
Fermi-level density of states, states/eV per cell: 66.3
E_form (uncorrected), eV per atom: -0.56
VASP energy, eV per formula unit: -53.8

=====

The following is a DFT calculation (GGA-PBE) of a relaxed structure of NaNi3I. Values from VASP.

Structure (Quantum ESPRESSO input):
```
&SYSTEM
  ibrav = 0, nat = 5, ntyp = 3
/
ATOMIC_SPECIES
I 126.90 I.upf
Ni 58.69 Ni.upf
Na 22.99 Na.upf
CELL_PARAMETERS angstrom
4.697 0.000 0.000
0.000 4.697 0.000
0.000 0.000 4.697
ATOMIC_POSITIONS angstrom
I 0.000 0.000 0.000
Ni 0.000 2.349 0.000
Ni 0.000 0.000 2.349
Ni 2.349 0.000 0.000
Na 2.349 2.349 2.349
```

Symmetry: Pm-3m
Fermi-level density of states, states/eV per cell: 0.6
E_form (uncorrected), eV per atom: 0.75
VASP energy, eV per formula unit: -16.5
Polymorph energy (0 for the lowest one), meV/atom: 0

=====

The following is a DFT calculation (GGA-PBE) of a relaxed structure of NaNiI. Values from VASP.

Structure (Quantum ESPRESSO input):
```
&SYSTEM
  ibrav = 0, nat = 6, ntyp = 3
/
ATOMIC_SPECIES
Na 22.99 Na.upf
I 126.90 I.upf
Ni 58.69 Ni.upf
CELL_PARAMETERS angstrom
0.316 6.182 0.105
-0.512 -2.200 4.633
5.521 3.726 2.380
ATOMIC_POSITIONS angstrom
Na 1.823 4.093 0.832
Na 4.326 4.857 4.340
I 3.021 7.423 2.548
I 0.432 4.746 3.858
Ni 4.488 7.952 4.391
Ni 4.742 9.049 2.073
```

Symmetry: Ima2
Fermi-level density of states, states/eV per cell: 0.7
E_form (uncorrected), eV per atom: -0.21
VASP energy, eV per formula unit: -9.3
Polymorph energy (0 for the lowest one), meV/atom: 19

=====

The following is a DFT calculation (GGA-PBE) of a relaxed structure of NaNiI. Values from VASP.

Structure (Quantum ESPRESSO input):
```
&SYSTEM
  ibrav = 0, nat = 6, ntyp = 3
/
ATOMIC_SPECIES
I 126.90 I.upf
Ni 58.69 Ni.upf
Na 22.99 Na.upf
CELL_PARAMETERS angstrom
9.371 0.157 -0.359
1.039 4.337 -0.033
0.063 -2.301 3.800
ATOMIC_POSITIONS angstrom
I 3.296 -0.335 3.664
I 8.040 0.899 1.567
Ni 2.819 -0.229 1.154
Ni 3.924 1.808 2.332
Na 6.522 3.546 0.605
Na 1.230 2.430 2.855
```

Symmetry: P1
Fermi-level density of states, states/eV per cell: 1.5
E_form (uncorrected), eV per atom: -0.23
VASP energy, eV per formula unit: -9.3
Polymorph energy (0 for the lowest one), meV/atom: 0

=====

The following is a DFT calculation (GGA-PBE) of a relaxed structure of NaNiI. Values from VASP.

Structure (Quantum ESPRESSO input):
```
&SYSTEM
  ibrav = 0, nat = 6, ntyp = 3
/
ATOMIC_SPECIES
Na 22.99 Na.upf
Ni 58.69 Ni.upf
I 126.90 I.upf
CELL_PARAMETERS angstrom
7.285 0.029 0.009
-1.349 4.118 0.006
0.628 0.154 5.673
ATOMIC_POSITIONS angstrom
Na 4.636 1.416 1.827
Na 0.089 2.284 4.493
Ni 0.099 2.300 1.639
Ni 5.878 4.112 2.571
I 4.249 3.577 4.307
I 1.661 0.534 0.926
```

Symmetry: P1
Fermi-level density of states, states/eV per cell: 4.2
E_form (uncorrected), eV per atom: -0.19
VASP energy, eV per formula unit: -9.2
Polymorph energy (0 for the lowest one), meV/atom: 44

=====

The following is a DFT calculation (GGA-PBE) of a relaxed structure of NaNiI. Values from VASP.

Structure (Quantum ESPRESSO input):
```
&SYSTEM
  ibrav = 0, nat = 6, ntyp = 3
/
ATOMIC_SPECIES
Na 22.99 Na.upf
I 126.90 I.upf
Ni 58.69 Ni.upf
CELL_PARAMETERS angstrom
4.562 0.000 0.002
0.000 4.540 0.000
-0.521 0.000 6.886
ATOMIC_POSITIONS angstrom
Na 0.580 3.646 5.696
Na 3.461 1.376 1.192
I 1.302 3.482 2.035
I 2.739 1.212 4.853
Ni 3.743 3.950 3.230
Ni 0.298 1.680 3.658
```

Symmetry: P2_1
Fermi-level density of states, states/eV per cell: 0.4
E_form (uncorrected), eV per atom: -0.12
VASP energy, eV per formula unit: -9.0
Polymorph energy (0 for the lowest one), meV/atom: 111

=====

- The lowest Fermi-level density of states belongs to which entry?
  number 2

=====

- Which of these has the lowest E_form (uncorrected)?
  Na5Ni3I12

=====

Repeat the ninth record exactly.
The following is a DFT calculation (GGA-PBE) of a relaxed structure of NaNiI. Values from VASP.

Structure (Quantum ESPRESSO input):
```
&SYSTEM
  ibrav = 0, nat = 6, ntyp = 3
/
ATOMIC_SPECIES
Na 22.99 Na.upf
I 126.90 I.upf
Ni 58.69 Ni.upf
CELL_PARAMETERS angstrom
0.316 6.182 0.105
-0.512 -2.200 4.633
5.521 3.726 2.380
ATOMIC_POSITIONS angstrom
Na 1.823 4.093 0.832
Na 4.326 4.857 4.340
I 3.021 7.423 2.548
I 0.432 4.746 3.858
Ni 4.488 7.952 4.391
Ni 4.742 9.049 2.073
```

Symmetry: Ima2
Fermi-level density of states, states/eV per cell: 0.7
E_form (uncorrected), eV per atom: -0.21
VASP energy, eV per formula unit: -9.3
Polymorph energy (0 for the lowest one), meV/atom: 19